# 1
Compound: Zr6ZnIr
Source: the Alexandria database
Functional: PBE
Structure: relaxed

a b c (Å): 5.4877 5.4909 5.4972
angles (deg): 92.97 93.02 93.11
Last column: nearest neighbours and their distance in Å.
Element x y z (fractional)
1 Zr 0.0037 0.2554 0.0259  2 Zr 2.72-2.80, 1 Ir 2.87, 1 Zn 3.02
2 Zr 0.2442 0.9725 0.4961  2 Zr 2.72-2.81, 1 Ir 2.86, 1 Zn 3.03
3 Zr 0.4727 0.4961 0.7446  2 Zr 2.72-2.81, 1 Ir 2.86, 1 Zn 3.03
4 Zr 0.5273 0.5039 0.2554  2 Zr 2.72-2.81, 1 Ir 2.86, 1 Zn 3.03
5 Zr 0.7558 0.0275 0.5039  2 Zr 2.72-2.81, 1 Ir 2.86, 1 Zn 3.03
6 Zr 0.9963 0.7446 0.9741  2 Zr 2.72-2.80, 1 Ir 2.87, 1 Zn 3.02
7 Zn 0.5000 0.0000 0.0000  12 Zr 3.02-3.14
8 Ir 0.0000 0.5000 0.5000  6 Zr 2.86-2.87

## Properties
energy of formation	-0.26	eV/atom
V	20.615	A^3/atom
energy	-7.94	eV per atom

# 2
Compound: Zr2ZnIr4
Source: the Alexandria database
Functional: PBE
Structure: relaxed

a b c (Å): 9.1133 9.1133 9.1133
angles (deg): 155.47 155.47 34.97
Last column: nearest neighbours and their distance in Å.
Element x y z (fractional)
1 Zr 0.1180 0.1180 0.0000  8 Ir 2.77-3.00
2 Zr 0.8820 0.8820 0.0000  8 Ir 2.77-3.00
3 Zn 0.5000 0.5000 0.0000  2 Ir 2.46
4 Ir 0.2500 0.7500 0.5000  8 Ir 2.70-2.74, 4 Zr 3.00
5 Ir 0.3585 0.3585 0.0000  1 Zn 2.46, 4 Ir 2.70
6 Ir 0.6415 0.6415 0.0000  1 Zn 2.46, 4 Ir 2.70
7 Ir 0.7500 0.2500 0.5000  8 Ir 2.70-2.74, 4 Zr 3.00

## Properties
energy of formation	-0.36	eV/atom
V	18.620	A^3/atom
energy	-8.05	eV per atom

# 3
Compound: ZrZnIr2
Source: the Alexandria database
Functional: PBE
Structure: relaxed

a b c (Å): 8.5727 8.5727 8.5727
angles (deg): 20.28 20.28 20.28
Last column: nearest neighbours and their distance in Å.
Element x y z (fractional)
1 Zr 0.0000 0.0000 0.0000  6 Ir 2.78, 6 Zr 3.02
2 Zn 0.5000 0.5000 0.5000  6 Ir 2.68
3 Ir 0.2475 0.2475 0.2475  3 Zn 2.68, 3 Zr 2.78
4 Ir 0.7525 0.7525 0.7525  3 Zn 2.68, 3 Zr 2.78

## Properties
energy of formation	-0.21	eV/atom
V	16.558	A^3/atom
energy	-7.10	eV per atom

# 4
Compound: Zr3Zn3Ir2
Source: the Alexandria database
Functional: PBE
Structure: relaxed

a b c (Å): 6.6918 16.5394 5.2694
angles (deg): 90.00 90.00 90.00
Last column: nearest neighbours and their distance in Å.
Element x y z (fractional)
1 Zr 0.0309 0.1140 0.1204  3 Ir 2.70-2.85, 4 Zn 2.88-3.01
2 Zr 0.0309 0.3860 0.1204  3 Ir 2.70-2.85, 4 Zn 2.88-3.01
3 Zr 0.1625 0.2500 0.6647  4 Ir 2.78-2.80, 3 Zn 2.80-2.91
4 Zr 0.3375 0.7500 0.1647  4 Ir 2.78-2.80, 3 Zn 2.80-2.91
5 Zr 0.4691 0.6140 0.6204  3 Ir 2.70-2.85, 4 Zn 2.88-3.01
6 Zr 0.4691 0.8860 0.6204  3 Ir 2.70-2.85, 4 Zn 2.88-3.01
7 Zr 0.5309 0.1140 0.3796  3 Ir 2.70-2.85, 4 Zn 2.88-3.01
8 Zr 0.5309 0.3860 0.3796  3 Ir 2.70-2.85, 4 Zn 2.88-3.01
9 Zr 0.6625 0.2500 0.8353  4 Ir 2.78-2.80, 3 Zn 2.80-2.91
10 Zr 0.8375 0.7500 0.3353  4 Ir 2.78-2.80, 3 Zn 2.80-2.91
11 Zr 0.9691 0.6140 0.8796  3 Ir 2.70-2.85, 4 Zn 2.88-3.01
12 Zr 0.9691 0.8860 0.8796  3 Ir 2.70-2.85, 4 Zn 2.88-3.01
13 Zn 0.1816 0.7500 0.6721  2 Ir 2.64, 5 Zr 2.80-2.91
14 Zn 0.1826 0.0202 0.6033  3 Ir 2.61-2.71, 3 Zn 2.76-2.86
15 Zn 0.1826 0.4798 0.6033  3 Ir 2.61-2.71, 3 Zn 2.76-2.86
16 Zn 0.3174 0.5202 0.1033  3 Ir 2.61-2.71, 3 Zn 2.76-2.86
17 Zn 0.3174 0.9798 0.1033  3 Ir 2.61-2.71, 3 Zn 2.76-2.86
18 Zn 0.3184 0.2500 0.1721  2 Ir 2.64, 5 Zr 2.80-2.91
19 Zn 0.6816 0.7500 0.8279  2 Ir 2.64, 5 Zr 2.80-2.91
20 Zn 0.6826 0.0202 0.8967  3 Ir 2.61-2.71, 3 Zn 2.76-2.86
21 Zn 0.6826 0.4798 0.8967  3 Ir 2.61-2.71, 3 Zn 2.76-2.86
22 Zn 0.8174 0.5202 0.3967  3 Ir 2.61-2.71, 3 Zn 2.76-2.86
23 Zn 0.8174 0.9798 0.3967  3 Ir 2.61-2.71, 3 Zn 2.76-2.86
24 Zn 0.8184 0.2500 0.3279  2 Ir 2.64, 5 Zr 2.80-2.91
25 Ir 0.1167 0.6241 0.3737  4 Zn 2.61-2.71, 5 Zr 2.70-2.85
26 Ir 0.1167 0.8759 0.3737  4 Zn 2.61-2.71, 5 Zr 2.70-2.85
27 Ir 0.3833 0.1241 0.8737  4 Zn 2.61-2.71, 5 Zr 2.70-2.85
28 Ir 0.3833 0.3759 0.8737  4 Zn 2.61-2.71, 5 Zr 2.70-2.85
29 Ir 0.6167 0.6241 0.1263  4 Zn 2.61-2.71, 5 Zr 2.70-2.85
30 Ir 0.6167 0.8759 0.1263  4 Zn 2.61-2.71, 5 Zr 2.70-2.85
31 Ir 0.8833 0.1241 0.6263  4 Zn 2.61-2.71, 5 Zr 2.70-2.85
32 Ir 0.8833 0.3759 0.6263  4 Zn 2.61-2.71, 5 Zr 2.70-2.85

## Properties
energy of formation	-0.49	eV/atom
V	18.225	A^3/atom
energy	-6.38	eV per atom

# 5
Compound: ZrZnIr2
Source: the Alexandria database
Functional: PBE
Structure: relaxed

a b c (Å): 5.2903 5.2903 2.8464
angles (deg): 104.05 104.05 114.72
Last column: nearest neighbours and their distance in Å.
Element x y z (fractional)
1 Zr 0.0000 0.0000 0.0000  4 Ir 2.68, 2 Zr 2.85, 4 Zn 2.85-2.99
2 Zn 0.5000 0.5000 0.0000  4 Ir 2.68, 2 Zn 2.85, 4 Zr 2.85-2.99
3 Ir 0.0000 0.5000 0.5000  2 Zr 2.68, 2 Zn 2.68, 6 Ir 2.85-2.99
4 Ir 0.5000 0.0000 0.5000  2 Zr 2.68, 2 Zn 2.68, 6 Ir 2.85-2.99

## Properties
energy of formation	-0.26	eV/atom
V	16.157	A^3/atom
energy	-7.15	eV per atom

# 6
Compound: Zr3ZnIr
Source: the Alexandria database
Functional: PBE
Structure: relaxed

a b c (Å): 5.0640 5.0640 5.0640
angles (deg): 90.00 90.00 90.00
Last column: nearest neighbours and their distance in Å.
Element x y z (fractional)
1 Zr 0.0000 0.0000 0.5000  2 Ir 2.53
2 Zr 0.0000 0.5000 0.0000  2 Ir 2.53
3 Zr 0.5000 0.0000 0.0000  2 Ir 2.53
4 Zn 0.5000 0.5000 0.5000  12 Zr 3.58
5 Ir 0.0000 0.0000 0.0000  6 Zr 2.53

## Properties
energy of formation	0.26	eV/atom
V	25.972	A^3/atom
relative energy among the computed polymorphs	0.000	eV/atom
energy	-6.90	eV per atom

# 7
Compound: Zr3Ir2
Source: the Alexandria database
Functional: PBE
Structure: relaxed

a b c (Å): 9.5202 9.5202 9.5202
angles (deg): 22.23 22.23 22.23
Last column: nearest neighbours and their distance in Å.
Element x y z (fractional)
1 Zr 0.0000 0.0000 0.0000  6 Ir 2.74
2 Zr 0.2144 0.2144 0.2144  3 Ir 2.64
3 Zr 0.7856 0.7856 0.7856  3 Ir 2.64
4 Ir 0.3957 0.3957 0.3957  6 Zr 2.64-2.74
5 Ir 0.6043 0.6043 0.6043  6 Zr 2.64-2.74

## Properties
energy of formation	-0.33	eV/atom
V	21.655	A^3/atom
relative energy among the computed polymorphs	0.360	eV/atom
energy	-9.01	eV per atom

# 8
Compound: ZrIr2
Source: the Alexandria database
Functional: PBE
Structure: relaxed

a b c (Å): 5.6543 4.0553 8.6906
angles (deg): 90.00 90.00 90.00
Last column: nearest neighbours and their distance in Å.
Element x y z (fractional)
1 Zr 0.1431 0.2500 0.1033  10 Ir 2.76-3.08
2 Zr 0.3569 0.7500 0.6033  10 Ir 2.76-3.08
3 Zr 0.6431 0.2500 0.3967  10 Ir 2.76-3.08
4 Zr 0.8569 0.7500 0.8967  10 Ir 2.76-3.08
5 Ir 0.1141 0.2500 0.7495  5 Zr 2.76-3.08, 7 Ir 2.83-2.91
6 Ir 0.1298 0.2500 0.4233  5 Zr 2.76-2.91, 7 Ir 2.84-2.91
7 Ir 0.3702 0.7500 0.9233  5 Zr 2.76-2.91, 7 Ir 2.84-2.91
8 Ir 0.3859 0.7500 0.2495  5 Zr 2.76-3.08, 7 Ir 2.83-2.91
9 Ir 0.6141 0.2500 0.7505  5 Zr 2.76-3.08, 7 Ir 2.83-2.91
10 Ir 0.6298 0.2500 0.0767  5 Zr 2.76-2.91, 7 Ir 2.84-2.91
11 Ir 0.8702 0.7500 0.5767  5 Zr 2.76-2.91, 7 Ir 2.84-2.91
12 Ir 0.8859 0.7500 0.2505  5 Zr 2.76-3.08, 7 Ir 2.83-2.91

## Properties
energy of formation	-0.70	eV/atom
V	16.606	A^3/atom
energy	-9.46	eV per atom